# meta-GGA SCAN Li3Cr3FeO8, PBEsol geometry
data_Li3Cr3FeO8
_chemical_formula_sum 'Li9 Cr9 Fe3 O24'
_symmetry_space_group_name_H-M 'R -3 m'
_symmetry_Int_Tables_number 166
_symmetry_space_group_name_Hall '-R 3 2"'
_cell_length_a 5.7806
_cell_length_b 5.7806
_cell_length_c 13.8870
_cell_angle_alpha 90.00
_cell_angle_beta 90.00
_cell_angle_gamma 120.00
loop_
_atom_site_label
_atom_site_type_symbol
_atom_site_fract_x
_atom_site_fract_y
_atom_site_fract_z
Li1 Li 0.0000 0.5000 0.0000
Cr1 Cr 0.0000 0.5000 0.5000
Fe1 Fe 0.0000 0.0000 0.0000
O1 O 0.0000 0.0000 0.2427
O2 O 0.0326 0.5163 0.7507
# Total magnetic moment in μB/f.u.: 11.0
# V in Å³/atom: 8.93
# E in eV per atom: -10.998